Entry from Alexandria: an optimized crystal structure of TmThAgOs (PBE).

Results
Its space group is F-43m, No. 216. The calculation puts the formation energy from the elements at -21.1 kJ per mole of atoms. The crystal system is cubic.

The structure in POSCAR format:
```
TmThAgOs
1.0
-3.736 -0.913 -3.257
1.054 -1.635 -4.649
-1.096 -4.740 -1.313
Tm Os Ag Th
1 1 1 1
Cartesian
-1.889 -3.644 -4.609 Tm
-2.833 -5.466 -6.914 Os
-0.944 -1.822 -2.305 Ag
0.000 0.000 0.000 Th
```